## TaNiAsIr (PBE)

Data for crystalline TaNiAsIr at its relaxed geometry.

Results
The calculation puts the volume at 60 Å³ per cell. The value obtained for the raw total energy is -31.3 eV for the cell shown.

Cell lengths 4.3848, 4.3848, 4.3848 Å; angles 60.00, 60.00, 60.00 degrees
Element x y z (fractional)
Ni 0.7500 0.7500 0.7500
Ir 0.5000 0.5000 0.5000
As 0.0000 0.0000 0.0000
Ta 0.2500 0.2500 0.2500